Entry 1:
LaCeDyY after structural relaxation. Source: the Alexandria database, functional PBE.

Values from the calculation:
Space group: F-43m (216)

```
LaCeDyY
1.0
5.744 0.000 0.000
2.872 4.975 0.000
2.872 1.658 4.690
Y La Ce Dy
1 1 1 1
Direct
0.500 0.500 0.500
0.750 0.750 0.750
0.250 0.250 0.250
0.000 0.000 0.000
```

---

Entry 2:
PuMgU after structural relaxation. Source: the Alexandria database, functional PBE.

Values from the calculation:
Space group: I4mm (107)

```
PuMgU
1.0
-2.575 2.280 -0.350
-1.795 -1.651 2.451
4.495 2.885 2.796
Mg U Pu
1 1 1
Direct
0.999 0.999 0.998
0.709 0.709 0.419
0.292 0.292 0.583
```

---

Record-wise total energy values, in eV per atom: -5.32 -8.79